Record 1
A relaxed HoTm7Cd2 crystal, computed with PBE. Values from VASP.

Calculated values
Spin magnetization: 0.00 μB/f.u.
Calculated total energy: -3.35 eV/atom
Space group: Cmmm (65)

Structure (Quantum ESPRESSO input):
```
&SYSTEM
  ibrav = 0, nat = 10, ntyp = 3
/
ATOMIC_SPECIES
Ho 164.93 Ho.upf
Tm 168.93 Tm.upf
Cd 112.41 Cd.upf
CELL_PARAMETERS angstrom
5.1451 0.0000 0.0000
0.0000 8.9713 -0.3147
0.0000 -4.3283 7.8645
ATOMIC_POSITIONS crystal
Ho 0.0000 0.0000 0.0000
Tm 0.0000 0.7782 0.2218
Tm 0.0000 0.2218 0.7782
Tm 0.5000 0.0655 0.2984
Tm 0.5000 0.9345 0.7016
Tm 0.5000 0.2984 0.0655
Tm 0.5000 0.7016 0.9345
Tm 0.5000 0.5000 0.5000
Cd 0.5000 0.6952 0.3048
Cd 0.5000 0.3048 0.6952
```

***

Record 2
A relaxed HoTmCd4 crystal, computed with PBE. Values from VASP.

Calculated values
Spin magnetization: 0.00 μB/f.u.
Calculated total energy: -2.35 eV/atom
Space group: F-43m (216)

Structure (Quantum ESPRESSO input):
```
&SYSTEM
  ibrav = 0, nat = 6, ntyp = 3
/
ATOMIC_SPECIES
Tm 168.93 Tm.upf
Ho 164.93 Ho.upf
Cd 112.41 Cd.upf
CELL_PARAMETERS angstrom
5.8793 0.0000 0.0000
2.9396 5.0916 0.0000
2.9396 1.6972 4.8004
ATOMIC_POSITIONS crystal
Tm 0.0000 0.0000 0.0000
Ho 0.2500 0.2500 0.2500
Cd 0.6250 0.6250 0.1251
Cd 0.6250 0.1251 0.6250
Cd 0.6250 0.6250 0.6250
Cd 0.1251 0.6250 0.6250
```

***

Record 3
A relaxed Ho2Tm6Cd crystal, computed with PBE. Values from VASP.

Calculated values
Spin magnetization: 0.00 μB/f.u.
Calculated total energy: -4.11 eV/atom
Space group: P4_2/mnm (136)

Structure (Quantum ESPRESSO input):
```
&SYSTEM
  ibrav = 0, nat = 18, ntyp = 3
/
ATOMIC_SPECIES
Ho 164.93 Ho.upf
Tm 168.93 Tm.upf
Cd 112.41 Cd.upf
CELL_PARAMETERS angstrom
4.9060 0.0000 0.2415
0.0000 10.3378 0.0000
-0.5098 0.0000 10.3258
ATOMIC_POSITIONS crystal
Ho 0.0001 0.3362 0.8358
Ho 0.4999 0.8362 0.6642
Ho 0.5001 0.1638 0.3358
Ho 0.9999 0.6638 0.1642
Tm 0.0001 0.9994 0.1667
Tm 0.0000 0.6667 0.4998
Tm 0.0001 0.6661 0.8343
Tm 0.4999 0.1661 0.6657
Tm 0.5000 0.1667 0.0002
Tm 0.4999 0.4994 0.3333
Tm 0.9999 0.0006 0.8333
Tm 0.0000 0.3333 0.5002
Tm 0.9999 0.3339 0.1657
Tm 0.5001 0.8339 0.3343
Tm 0.5000 0.8333 0.9998
Tm 0.5001 0.5006 0.6667
Cd 0.5000 0.5000 0.0000
Cd 0.0000 0.0000 0.5000
```

***

Record 4
A relaxed Ho2Tm3Cd6 crystal, computed with PBE. Values from VASP.

Calculated values
Spin magnetization: 0.04 μB/f.u.
Calculated total energy: -2.43 eV/atom
Space group: I4/mmm (139)

Structure (Quantum ESPRESSO input):
```
&SYSTEM
  ibrav = 0, nat = 11, ntyp = 3
/
ATOMIC_SPECIES
Ho 164.93 Ho.upf
Tm 168.93 Tm.upf
Cd 112.41 Cd.upf
CELL_PARAMETERS angstrom
4.9443 0.0000 0.0000
0.0000 4.9443 0.0000
-2.4721 -2.4721 13.6862
ATOMIC_POSITIONS crystal
Ho 0.3656 0.3656 0.7312
Ho 0.6344 0.6344 0.2688
Tm 0.0000 0.0000 0.0000
Tm 0.8641 0.8641 0.7282
Tm 0.1359 0.1359 0.2718
Cd 0.0648 0.5648 0.1297
Cd 0.5648 0.0648 0.1297
Cd 0.9352 0.4352 0.8703
Cd 0.4352 0.9352 0.8703
Cd 0.7493 0.7493 0.4985
Cd 0.2507 0.2507 0.5015
```

***

Record 5
A relaxed Ho4Tm3Cd crystal, computed with PBE. Values from VASP.

Calculated values
Spin magnetization: 0.00 μB/f.u.
Calculated total energy: -4.14 eV/atom
Space group: P4/mmm (123)

Structure (Quantum ESPRESSO input):
```
&SYSTEM
  ibrav = 0, nat = 8, ntyp = 3
/
ATOMIC_SPECIES
Tm 168.93 Tm.upf
Ho 164.93 Ho.upf
Cd 112.41 Cd.upf
CELL_PARAMETERS angstrom
3.5178 0.0000 0.0000
0.0000 3.5178 0.0000
0.0000 0.0000 19.0183
ATOMIC_POSITIONS crystal
Tm 0.5000 0.5000 0.2404
Tm 0.5000 0.5000 0.5000
Tm 0.5000 0.5000 0.7596
Ho 0.0000 0.0000 0.8892
Ho 0.0000 0.0000 0.1108
Ho 0.0000 0.0000 0.3700
Ho 0.0000 0.0000 0.6300
Cd 0.5000 0.5000 0.0000
```

***

Record 6
A relaxed HoTmCd6 crystal, computed with PBE. Values from VASP.

Calculated values
Spin magnetization: 0.00 μB/f.u.
Calculated total energy: -2.08 eV/atom
Space group: Amm2 (38)

Structure (Quantum ESPRESSO input):
```
&SYSTEM
  ibrav = 0, nat = 8, ntyp = 3
/
ATOMIC_SPECIES
Ho 164.93 Ho.upf
Tm 168.93 Tm.upf
Cd 112.41 Cd.upf
CELL_PARAMETERS angstrom
4.8590 0.0000 0.0000
0.0000 6.4674 0.2014
0.0000 -2.6828 5.8882
ATOMIC_POSITIONS crystal
Ho 0.5000 0.3825 0.6175
Tm 0.0000 0.1173 0.8827
Cd 0.0000 0.0612 0.3708
Cd 0.0000 0.6292 0.9388
Cd 0.0000 0.5743 0.4257
Cd 0.5000 0.4375 0.1288
Cd 0.5000 0.8712 0.5625
Cd 0.5000 0.9265 0.0735
```